# 1
Material: NaCoAgS3
Method: DFT, PBE
State: optimized geometry

POSCAR file:
```
NaCoAgS3
1.0
1.695 -6.907 0.000
1.695 6.907 0.000
0.000 0.000 9.614
Na Co Ag S
2 2 2 6
Direct
0.218 0.782 0.750
0.782 0.218 0.250
0.500 0.500 0.000
0.500 0.500 0.500
0.096 0.904 0.250
0.904 0.096 0.750
0.111 0.889 0.005
0.111 0.889 0.495
0.448 0.552 0.250
0.552 0.448 0.750
0.889 0.111 0.505
0.889 0.111 0.995
```

Properties
Uncorrected energy, eV/atom: -4.155
Space-group type: Cmcm (63)

=====

# 2
Material: NaCoAgSe2S
Method: DFT, PBE
State: optimized geometry

POSCAR file:
```
NaCoAgSe2S
1.0
1.780 -6.791 0.000
1.780 6.791 0.000
0.000 0.000 9.829
Na Co Ag Se S
2 2 2 4 2
Direct
0.239 0.761 0.750
0.761 0.239 0.250
0.500 0.500 0.000
0.500 0.500 0.500
0.073 0.927 0.250
0.927 0.073 0.750
0.121 0.879 0.005
0.121 0.879 0.495
0.879 0.121 0.505
0.879 0.121 0.995
0.439 0.561 0.250
0.561 0.439 0.750
```

Properties
Uncorrected energy, eV/atom: -3.923
Space-group type: Cmcm (63)

=====

# 3
Material: NaCoAgTeS2
Method: DFT, PBE
State: optimized geometry

POSCAR file:
```
NaCoAgTeS2
1.0
1.690 -7.623 0.000
1.690 7.623 0.000
0.000 0.000 10.088
Na Co Ag Te S
2 2 2 2 4
Direct
0.231 0.769 0.750
0.769 0.231 0.250
0.500 0.500 0.000
0.500 0.500 0.500
0.107 0.893 0.250
0.893 0.107 0.750
0.441 0.559 0.250
0.559 0.441 0.750
0.101 0.899 0.014
0.101 0.899 0.486
0.899 0.101 0.514
0.899 0.101 0.986
```

Properties
Uncorrected energy, eV/atom: -4.025
Space-group type: Cmcm (63)

=====

# 4
Material: NaCoAgSe3
Method: DFT, PBE
State: optimized geometry

POSCAR file:
```
NaCoAgSe3
1.0
1.772 -6.906 0.000
1.772 6.906 0.000
0.000 0.000 10.049
Na Co Ag Se
2 2 2 6
Direct
0.240 0.760 0.750
0.760 0.240 0.250
0.500 0.500 0.000
0.500 0.500 0.500
0.084 0.916 0.250
0.916 0.084 0.750
0.120 0.880 0.006
0.120 0.880 0.494
0.438 0.562 0.250
0.562 0.438 0.750
0.880 0.120 0.506
0.880 0.120 0.994
```

Properties
Uncorrected energy, eV/atom: -3.853
Space-group type: Cmcm (63)

=====

# 5
Material: NaCoAgTe3
Method: DFT, PBE
State: optimized geometry

POSCAR file:
```
NaCoAgTe3
1.0
1.908 -7.126 0.000
1.908 7.126 0.000
0.000 0.000 10.788
Na Co Ag Te
2 2 2 6
Direct
0.248 0.752 0.750
0.752 0.248 0.250
0.000 0.000 0.000
0.000 0.000 0.500
0.419 0.581 0.250
0.581 0.419 0.750
0.065 0.935 0.250
0.376 0.624 0.009
0.376 0.624 0.491
0.624 0.376 0.509
0.624 0.376 0.991
0.935 0.065 0.750
```

Properties
Uncorrected energy, eV/atom: -3.604
Space-group type: Cmcm (63)

=====

# 6
Material: NbCoAg
Method: DFT, PBE
State: optimized geometry

POSCAR file:
```
NbCoAg
1.0
0.000 3.028 3.028
3.028 0.000 3.028
3.028 3.028 0.000
Nb Co Ag
1 1 1
Direct
0.000 0.000 0.000
0.250 0.250 0.250
0.750 0.750 0.750
```

Properties
E_form, meV per atom: 913
Relative energy among the computed polymorphs, meV/atom: 383
Space-group type: F-43m (216)